Record 1
Tl2GePt2 | PBE | optimized geometry

The polymorph energy (0 for the lowest one) comes out at 136 meV per atom. The crystal system is tetragonal. The calculation puts the density of states at the Fermi level at 0.5201 states/eV/atom. The value obtained for the formation energy is -0.1 eV/f.u.

It has space group P4/mbm (No. 127), with a = 6.3546 Å, b = 6.3546 Å, c = 5.7077 Å, α = 90.00°, β = 90.00° and γ = 90.00°. The inequivalent atoms are Tl at (0.1817, 0.3183, 0.0000), Ge at (0.0000, 0.0000, 0.5000) and Pt at (0.1478, 0.6478, 0.5000).

=====

Record 2
Sm2Y2Ga4Si | PBE | optimized geometry

The crystal system is tetragonal. The calculation puts the density of states at the Fermi level at 0.7237 states/eV/atom. Its formation energy from raw total energies is -0.338 eV/atom.

It has space group I4/mmm (No. 139), with a = 6.9971 Å, b = 6.9971 Å, c = 8.7783 Å, α = 90.00°, β = 90.00° and γ = 90.00°. The inequivalent atoms are Sm at (0.0000, 0.5000, 0.2500), Y at (0.0000, 0.0000, 0.1938), Ga at (0.2475, 0.2475, 0.5000) and Si at (0.0000, 0.0000, 0.5000).

=====

Record 3
KZn2Pd2 | PBE | optimized geometry

The polymorph energy (0 for the lowest one) comes out at 0 meV per atom. The crystal system is tetragonal. The calculation puts the density of states at the Fermi level at 0.2817 states/eV/atom. The value obtained for the formation energy is -1.4 eV/f.u.

It has space group P4/mbm (No. 127), with a = 7.9261 Å, b = 7.9261 Å, c = 2.8647 Å, α = 90.00°, β = 90.00° and γ = 90.00°. The inequivalent atoms are K at (0.0000, 0.0000, 0.0000), Zn at (0.1535, 0.3465, 0.5000) and Pd at (0.1364, 0.6364, 0.0000).